Entry 1:
Crystalline Nd3EuPd at its relaxed geometry, computed with PBE.

Results
Formation energy ... -0.125 eV per atom
Raw total energy ... -30.4 eV for the cell shown

POSCAR file:
```
Nd3EuPd
1.0
-3.400 3.428 3.065
-4.418 -1.376 -3.361
-1.277 -4.366 3.466
Nd Pd Eu
3 1 1
Direct
0.000 0.500 0.000
0.000 0.000 0.500
0.500 0.000 0.000
0.000 0.000 0.000
0.500 0.500 0.500
```

Entry 2:
Crystalline NdEu3Pd at its relaxed geometry, computed with PBE.

Results
Formation energy ... -0.118 eV per atom
Raw total energy ... -41.4 eV for the cell shown

POSCAR file:
```
NdEu3Pd
1.0
5.754 0.000 0.000
0.000 5.754 0.000
0.000 0.000 5.754
Pd Eu Nd
1 3 1
Direct
0.000 0.000 0.000
0.500 0.000 0.000
0.000 0.000 0.500
0.000 0.500 0.000
0.500 0.500 0.500
```

Entry 3:
Crystalline NdEuPd2 at its relaxed geometry, computed with PBE.

Results
Formation energy ... -0.607 eV per atom
ΔE to the lowest computed polymorph ... 117 meV/atom
Raw total energy ... -27.9 eV for the cell shown

POSCAR file:
```
NdEuPd2
1.0
-2.183 -1.873 -3.080
1.237 -3.746 -1.482
-4.294 -5.073 3.245
Eu Pd Nd
1 2 1
Direct
0.500 0.500 0.500
0.253 0.253 0.241
0.747 0.747 0.759
0.000 0.000 0.000
```

Entry 4:
Crystalline NdEuPd2 at its relaxed geometry, computed with PBE.

Results
Formation energy ... -0.725 eV per atom
ΔE to the lowest computed polymorph ... 0 meV/atom
Raw total energy ... -28.3 eV for the cell shown

POSCAR file:
```
NdEuPd2
1.0
3.634 0.000 0.000
0.000 3.634 0.000
0.000 0.000 7.274
Pd Nd Eu
2 1 1
Direct
0.000 0.000 0.769
0.000 0.000 0.231
0.500 0.500 0.000
0.500 0.500 0.500
```

Entry 5:
Crystalline NdEuPd at its relaxed geometry, computed with PBE.

Results
Formation energy ... -0.459 eV per atom
ΔE to the lowest computed polymorph ... 0 meV/atom
Raw total energy ... -21.6 eV for the cell shown

POSCAR file:
```
NdEuPd
1.0
3.683 0.000 0.000
0.000 3.683 0.000
-1.842 -1.842 6.492
Pd Nd Eu
1 1 1
Direct
0.677 0.677 0.353
0.295 0.295 0.590
0.029 0.029 0.057
```

Entry 6:
Crystalline NdEuPdRh at its relaxed geometry, computed with PBE.

Results
Formation energy ... -0.603 eV per atom
Raw total energy ... -30.0 eV for the cell shown

POSCAR file:
```
NdEuPdRh
1.0
-3.507 1.059 3.476
-4.869 0.248 -1.319
-3.214 -3.588 1.520
Pd Nd Rh Eu
1 1 1 1
Direct
0.250 0.250 0.250
0.500 0.500 0.500
0.750 0.750 0.750
0.000 0.000 0.000
```

Entry 7:
Crystalline NdEuSnPd at its relaxed geometry, computed with PBE.

Results
Formation energy ... -0.646 eV per atom
Raw total energy ... -26.8 eV for the cell shown

POSCAR file:
```
NdEuSnPd
1.0
-3.640 3.888 0.457
-4.372 -0.057 -3.075
-4.775 -1.049 2.162
Nd Sn Eu Pd
1 1 1 1
Direct
0.500 0.500 0.500
0.250 0.250 0.250
0.000 0.000 0.000
0.750 0.750 0.750
```

Entry 8:
Crystalline NdEuTlPd at its relaxed geometry, computed with PBE.

Results
Formation energy ... -0.460 eV per atom
Raw total energy ... -24.4 eV for the cell shown

POSCAR file:
```
NdEuTlPd
1.0
-4.441 2.670 -1.349
-1.213 0.745 -5.162
-4.134 -2.611 -2.183
Eu Nd Tl Pd
1 1 1 1
Direct
0.250 0.250 0.250
0.750 0.750 0.750
0.000 0.000 0.000
0.500 0.500 0.500
```

Number 6 is which compound? NdEuPdRh

Which formula does entry 3 have? NdEuPd2